YZrBr2 PBE relaxed; Fermi-level density of states = 4.2 states/eV per cell; ΔE_f (raw) = -0.528 eV per atom; calculated total energy = -20.5 eV per formula unit; total moment = 0.00 μB per cell; mass density = 5.7 Mg/m³; SG = Imm2 (44)
1.0
-1.7134 2.5442 5.6324
1.7134 -2.5442 5.6324
1.7134 2.5442 -5.6324
Y Zr Br
1 1 2
Direct
0.0000 0.0000 0.0000
0.2653 0.7653 0.5000
0.4747 0.4747 0.0000
0.7717 0.2717 0.5000